La6InOs2 | PBE-GGA | relaxed

Unit cell a=6.826 b=6.826 c=9.788 alpha=124.82 beta=124.82 gamma=50.25
Fractional positions:
La (0.012, 0.012, 0.161)
La (0.293, 0.293, 0.901)
La (0.378, 0.378, 0.534)
La (0.622, 0.622, 0.466)
La (0.707, 0.707, 0.099)
La (0.988, 0.988, 0.839)
In (0.000, 0.000, 0.500)
Os (0.283, 0.283, 0.199)
Os (0.717, 0.717, 0.801)

Total magnetic moment ... 0.00 μB per cell
Energy above the most stable polymorph in this dataset ... 0.1634 eV/atom
Symmetry ... C2/m (12)
E_form ... -0.0921 eV per atom

=====

Dy14YHo | PBE-GGA | relaxed

Unit cell a=11.447 b=7.116 c=7.116 alpha=60.04 beta=90.00 gamma=90.00
Fractional positions:
Dy (0.000, 0.000, 0.000)
Dy (0.000, 0.000, 0.500)
Dy (0.000, 0.500, 0.000)
Dy (0.000, 0.500, 0.500)
Dy (0.249, 0.333, 0.333)
Dy (0.250, 0.333, 0.832)
Dy (0.250, 0.832, 0.333)
Dy (0.251, 0.833, 0.833)
Dy (0.500, 0.167, 0.666)
Dy (0.500, 0.666, 0.167)
Dy (0.749, 0.833, 0.833)
Dy (0.750, 0.333, 0.832)
Dy (0.750, 0.832, 0.333)
Dy (0.751, 0.333, 0.333)
Y (0.500, 0.166, 0.166)
Ho (0.500, 0.666, 0.666)

Total magnetic moment ... 0.00 μB per cell
Symmetry ... Amm2 (38)
E_form ... 0.0015 eV per atom

=====

TbCoNi | PBE-GGA | relaxed

Unit cell a=3.930 b=3.930 c=3.852 alpha=90.00 beta=90.00 gamma=120.00
Fractional positions:
Tb (0.000, 0.000, 0.000)
Co (0.667, 0.333, 0.500)
Ni (0.333, 0.667, 0.500)

Total magnetic moment ... 0.18 μB per cell
Symmetry ... P-6m2 (187)
E_form ... -0.2443 eV per atom

=====

Q: Number 1 is which compound?
A: La6InOs2